{"formula": "HfN2Cl4", "functional": "GGA-PBE", "state": "relaxed", "lattice": [[-2.5915, 6.3605, 1.2408], [-3.6951, -0.4798, 0.2776], [-1.1166, -0.4592, 10.2839]], "species": ["N", "N", "Cl", "Cl", "Cl", "Cl", "Hf"], "frac_coords": [[0.7458, 0.8382, 0.5604], [0.2542, 0.1618, 0.4396], [0.2454, 0.9768, 0.8110], [0.8143, 0.6433, 0.8992], [0.7546, 0.0232, 0.1890], [0.1857, 0.3567, 0.1008], [0.0000, 0.0000, 0.0000]], "space_group": "P-1 (2)", "formation_energy_uncorrected_ev_per_atom": 0.23, "m_tot_mub_per_cell": 6.0, "final_energy_ev_per_atom": -4.624}